Version w
# PBE-GGA BeFeIN2, optimized geometry
data_BeFeIN2
_space_group_name_H-M_alt 'P 4/m m m'
_space_group_IT_number 123
_space_group_name_Hall '-P 4 2'
_cell_length_a 3.589
_cell_length_b 3.589
_cell_length_c 5.928
_cell_angle_alpha 90.00
_cell_angle_beta 90.00
_cell_angle_gamma 90.00
loop_
_atom_site_label
_atom_site_fract_x
_atom_site_fract_y
_atom_site_fract_z
Be1 0.000 0.000 0.000
Fe1 0.500 0.500 0.500
I1 0.000 0.000 0.500
N1 0.000 0.500 0.000
# Mass density: 4779 kg/m3
# Crystal system: tetragonal
# Magnetic moment: 0.954 μB per atom

***

Version x
# PBE-GGA BeFeIN2, optimized geometry
data_BeFeIN2
_space_group_name_H-M_alt 'P 4/m m m'
_space_group_IT_number 123
_space_group_name_Hall '-P 4 2'
_cell_length_a 3.543
_cell_length_b 3.543
_cell_length_c 6.968
_cell_angle_alpha 90.00
_cell_angle_beta 90.00
_cell_angle_gamma 90.00
loop_
_atom_site_label
_atom_site_fract_x
_atom_site_fract_y
_atom_site_fract_z
Be1 0.000 0.000 0.000
Fe1 0.500 0.500 0.500
I1 0.500 0.500 0.000
N1 0.000 0.500 0.500
# Mass density: 4172 kg/m3
# Crystal system: tetragonal
# Magnetic moment: 0.055 μB per atom

***

The most stable structure shown above is version x; the least stable is version w.